Entry 1:
Crystalline CuSiHgPd at its relaxed geometry. Source: OQMD via LeMat-Bulk, functional PBE. Values from VASP.

Output
Theoretical density, g/cm3: 10.4
Space group: F-43m, No. 216
Energy, eV per atom: -3.56

```
&SYSTEM
  ibrav = 0, nat = 4, ntyp = 4
/
ATOMIC_SPECIES
Pd 106.42 Pd.upf
Cu 63.55 Cu.upf
Hg 200.59 Hg.upf
Si 28.09 Si.upf
ATOMIC_POSITIONS angstrom
Pd -0.8811 -2.2187 -1.3577
Cu -2.6432 -6.6560 -4.0733
Hg -1.7621 -4.4373 -2.7155
Si 0.0000 0.0000 0.0000
CELL_PARAMETERS angstrom
0.6791 -4.3786 -0.6923
-3.4920 -2.7311 -0.6777
-0.7113 -1.7649 -4.0610
```

=====

Entry 2:
Crystalline PaPPtO at its relaxed geometry. Source: OQMD via LeMat-Bulk, functional PBE. Values from VASP.

Output
Theoretical density, g/cm3: 12.4
Space group: P4/nmm, No. 129
Energy, eV per atom: -6.98

```
&SYSTEM
  ibrav = 0, nat = 8, ntyp = 4
/
ATOMIC_SPECIES
Pt 195.08 Pt.upf
P 30.97 P.upf
Pa 231.04 Pa.upf
O 16.00 O.upf
ATOMIC_POSITIONS angstrom
Pt -1.5937 -2.6962 4.2628
P -1.8338 -2.9107 1.8826
Pa -2.2776 -0.3048 2.6460
P 0.3311 0.2958 3.2823
O -2.5142 -0.5161 0.3001
O 0.5383 -2.5215 0.1729
Pa 0.7749 -2.3102 2.5188
Pt 0.0910 0.0813 0.9021
CELL_PARAMETERS angstrom
-5.0285 -1.0323 0.6002
1.0766 -5.0431 0.3458
0.4732 0.4228 4.6919
```

=====

Entry 3:
Crystalline Na4Tl3Zn at its relaxed geometry. Source: OQMD via LeMat-Bulk, functional PBE. Values from VASP.

Output
Theoretical density, g/cm3: 6.2
Space group: P-4m2, No. 115
Energy, eV per atom: -1.78

```
&SYSTEM
  ibrav = 0, nat = 8, ntyp = 3
/
ATOMIC_SPECIES
Na 22.99 Na.upf
Zn 65.41 Zn.upf
Tl 204.38 Tl.upf
ATOMIC_POSITIONS angstrom
Na 2.6287 0.0000 5.6540
Zn 0.0000 0.0000 0.0000
Na 0.0000 0.0000 3.7323
Na 2.6287 2.6287 0.0000
Tl 2.6287 0.0000 1.7571
Tl 2.6287 2.6287 3.7323
Tl 0.0000 2.6287 5.7074
Na 0.0000 2.6287 1.8106
CELL_PARAMETERS angstrom
5.2573 0.0000 0.0000
0.0000 5.2573 0.0000
0.0000 0.0000 7.4646
```

=====

Entry 4:
Crystalline RbPdNO at its relaxed geometry. Source: OQMD via LeMat-Bulk, functional PBE. Values from VASP.

Output
Theoretical density, g/cm3: 4.4
Space group: P4/nmm, No. 129
Energy, eV per atom: -4.40

```
&SYSTEM
  ibrav = 0, nat = 8, ntyp = 4
/
ATOMIC_SPECIES
N 14.01 N.upf
Rb 85.47 Rb.upf
Pd 106.42 Pd.upf
O 16.00 O.upf
ATOMIC_POSITIONS angstrom
N 4.3176 0.0000 5.0857
Rb 4.3176 0.0000 8.3924
Pd 2.8784 1.4392 5.0907
N 1.4392 0.0000 5.0957
O 2.8784 -1.4392 0.0000
O 2.8784 1.4392 0.0000
Rb 1.4392 0.0000 1.7890
Pd 2.8784 -1.4392 5.0907
CELL_PARAMETERS angstrom
2.8784 -2.8784 0.0000
2.8784 2.8784 0.0000
0.0000 0.0000 10.1814
```

=====

Entry 5:
Crystalline FeSnHgS3 at its relaxed geometry. Source: OQMD via LeMat-Bulk, functional PBE. Values from VASP.

Output
Theoretical density, g/cm3: 5.5
Space group: Cmcm, No. 63
Energy, eV per atom: -4.27

```
&SYSTEM
  ibrav = 0, nat = 12, ntyp = 4
/
ATOMIC_SPECIES
Hg 200.59 Hg.upf
S 32.06 S.upf
Fe 55.84 Fe.upf
Sn 118.71 Sn.upf
ATOMIC_POSITIONS angstrom
Hg 0.0000 0.0000 0.0000
S -1.8764 -0.9661 1.6793
Hg -3.7104 -0.9744 3.6570
Fe -5.9042 -9.1040 3.1056
S -7.1455 -10.8237 3.8282
S -3.2355 -5.3455 1.5738
S -6.1470 -14.5840 1.3991
S -0.8780 -4.7264 -0.7498
S -4.7879 -10.2046 1.5047
Sn -2.3066 -10.6753 -1.3441
Fe -2.1192 -6.4461 -0.0271
Sn -5.7168 -4.8748 4.4226
CELL_PARAMETERS angstrom
-1.6380 -6.3560 -3.3555
1.0354 -7.2453 -0.8800
-7.4208 -1.9488 7.3139
```

=====

Entry 6:
Crystalline LuTaFeGe at its relaxed geometry. Source: OQMD via LeMat-Bulk, functional PBE. Values from VASP.

Output
Theoretical density, g/cm3: 11.9
Space group: F-43m, No. 216
Energy, eV per atom: -7.01

```
&SYSTEM
  ibrav = 0, nat = 4, ntyp = 4
/
ATOMIC_SPECIES
Ge 72.64 Ge.upf
Ta 180.95 Ta.upf
Fe 55.84 Fe.upf
Lu 174.97 Lu.upf
ATOMIC_POSITIONS angstrom
Ge 0.0000 0.0000 0.0000
Ta 3.2368 3.2368 3.2368
Fe 4.8552 4.8552 4.8552
Lu 1.6184 1.6184 1.6184
CELL_PARAMETERS angstrom
0.0000 3.2368 3.2368
3.2368 0.0000 3.2368
3.2368 3.2368 0.0000
```